Entry from Alexandria via LeMat-Bulk: a geometry-optimized SnSbMo structure (GGA-PBE).

Values from the calculation:
ΔE_f (raw) in eV per atom: 0.4153
V in Å³ per cell: 285
ΔE to the lowest computed polymorph in eV/atom: 0.350
Total moment in μB/f.u.: 0.000
Energy in eV per atom: -5.903

Lattice parameters (Å, degrees): 5.5129 16.3045 3.1722 90.00 90.00 90.00
Space group Cmcm (No. 63)
Unique sites:
1 Sn 0.0000 0.0940 0.2500 [4 per cell]
2 Sb 0.0000 0.2877 0.2500 [4 per cell]
3 Mo 0.0000 0.4429 0.7500 [4 per cell]